The following is a DFT calculation (PBE-GGA) of a geometry-optimized YAl3Ir2 structure.

a b c (Å): 4.1205 8.4793 9.8654
angles (deg): 105.80 90.00 104.06
With the nearest neighbours (Å) after each atom.
Element x y z (fractional)
Al: 0.2149 0.4298 0.3950  4 Ir 2.45-2.59, 1 Al 2.70
Al: 0.6769 0.3538 0.9649  4 Ir 2.58-2.60, 1 Al 2.74
Al: 0.5000 0.0000 0.5000  4 Ir 2.40-2.63
Al: 0.3762 0.7524 0.7960  4 Ir 2.46-2.61, 1 Al 2.74
Al: 0.6238 0.2476 0.2040  4 Ir 2.46-2.61, 1 Al 2.74
Al: 0.3231 0.6462 0.0351  4 Ir 2.58-2.60, 1 Al 2.74
Al: 0.0446 0.0892 0.3411  4 Ir 2.52-2.63, 3 Al 2.70-2.81
Al: 0.9554 0.9108 0.6589  4 Ir 2.52-2.63, 3 Al 2.70-2.81
Al: 0.7851 0.5702 0.6050  4 Ir 2.45-2.59, 1 Al 2.70
Ir: 0.5313 0.0626 0.7761  5 Al 2.52-2.63
Ir: 0.1898 0.3796 0.1268  6 Al 2.54-2.60
Ir: 0.8102 0.6204 0.8732  6 Al 2.54-2.60
Ir: 0.4687 0.9374 0.2239  5 Al 2.52-2.63
Ir: 0.3628 0.7255 0.5408  7 Al 2.40-2.63
Ir: 0.6372 0.2745 0.4592  7 Al 2.40-2.63
Y: 0.1627 0.3255 0.7103  6 Ir 3.16-3.24, 8 Al 3.21-3.53
Y: 0.8373 0.6745 0.2897  6 Ir 3.16-3.24, 8 Al 3.21-3.53
Y: 0.0000 0.0000 0.0000  6 Ir 3.02-3.17, 6 Al 3.18-3.24

## Properties
formation enthalpy at 0 K = -19.1 kcal/mol of atoms
space group = C2/m (12)
calculated total energy = -6.731 eV per atom